[1]
First-principles (PBE-GGA) data for a geometry-optimized Hg2SbOs structure, as listed in Alexandria via LeMat-Bulk.

symmetry: P4/mmm (123)
energy relative to the elements, uncorrected: 378 kJ/mol of formula units

Cell lengths 4.924, 4.924, 3.412 Å; angles 90.00, 90.00, 90.00 degrees
Element x y z (fractional)
Hg (0.000, 0.000, 0.000)
Hg (0.500, 0.500, 0.000)
Os (0.500, 0.000, 0.500)
Sb (0.000, 0.500, 0.500)


[2]
First-principles (PBE-GGA) data for a geometry-optimized ZnGeRuSeO structure, as listed in Alexandria via LeMat-Bulk.

symmetry: P1 (1)
energy relative to the elements, uncorrected: -213 kJ/mol of formula units

Cell lengths 3.779, 4.494, 5.682 Å; angles 69.23, 71.38, 72.93 degrees
Element x y z (fractional)
Zn (0.960, 0.042, 0.005)
Ge (0.100, 0.356, 0.433)
Ru (0.600, 0.037, 0.650)
Se (0.387, 0.462, 0.916)
O (0.925, 0.797, 0.370)


[3]
First-principles (PBE-GGA) data for a geometry-optimized SmAl2Cu5 structure, as listed in Alexandria via LeMat-Bulk.

E_form: -1.52 eV/f.u.
symmetry: Immm (71)

Cell lengths 3.879, 6.279, 6.279 Å; angles 64.27, 72.01, 72.01 degrees
Element x y z (fractional)
Sm (0.000, 0.000, 0.000)
Al (0.755, 0.745, 0.745)
Al (0.245, 0.255, 0.255)
Cu (0.000, 0.500, 0.500)
Cu (0.629, 0.555, 0.186)
Cu (0.371, 0.445, 0.814)
Cu (0.371, 0.814, 0.445)
Cu (0.629, 0.186, 0.555)